DFT (GGA-PBE) results for a relaxed structure of NdTi2GeO8.

```
data_NdTi2GeO8
_symmetry_space_group_name_H-M 'C 1 2/m 1'
_symmetry_Int_Tables_number 12
_cell_length_a 7.4097
_cell_length_b 6.2710
_cell_length_c 6.7138
_cell_angle_alpha 90.00
_cell_angle_beta 97.28
_cell_angle_gamma 90.00
loop_
_symmetry_equiv_pos_as_xyz
'x,y,z'
'-x,-y,-z'
'-x,y,-z'
'x,-y,z'
'x+1/2,y+1/2,z'
'-x+1/2,-y+1/2,-z'
'-x+1/2,y+1/2,-z'
'x+1/2,-y+1/2,z'
loop_
_atom_site_label
_atom_site_fract_x
_atom_site_fract_y
_atom_site_fract_z
Nd1 0.0000 0.0000 0.0000
Ti1 0.0624 0.5000 0.2369
Ge1 0.0000 0.0000 0.5000
O1 0.0043 0.2133 0.2928
O2 0.1737 0.5000 0.0091
O3 0.2470 0.5000 0.4487
```


DFT (GGA-PBE) results for a relaxed structure of OsWSe.

Relative energy among the computed polymorphs = 0.2978 eV/atom

```
data_OsWSe
_symmetry_space_group_name_H-M 'F -4 3 m'
_symmetry_Int_Tables_number 216
_symmetry_space_group_name_Hall 'F -4 2 3'
_cell_length_a 6.0521
_cell_length_b 6.0521
_cell_length_c 6.0521
_cell_angle_alpha 90.00
_cell_angle_beta 90.00
_cell_angle_gamma 90.00
loop_
_atom_site_label
_atom_site_fract_x
_atom_site_fract_y
_atom_site_fract_z
Os1 0.0000 0.0000 0.0000
W1 0.2500 0.2500 0.7500
Se1 0.2500 0.2500 0.2500
```


Results for calculated volume: 12.89; 18.47 (in Å³/atom, following the order of the records).
Results for E_form (uncorrected): -2.476; 0.596 (in eV per atom, following the order of the records).